Model i:
## ZrGeSCl2 (PBE-GGA)

Data for an optimized crystal structure of ZrGeSCl2.

POSCAR file:
```
ZrGeSCl2
1.0
5.0368 0.0000 0.0000
0.0000 5.0368 0.0000
0.0000 0.0000 5.0406
Ge S Zr Cl
1 1 1 2
direct
0.5000 0.5000 0.5000
0.0000 0.0000 0.5000
0.0000 0.0000 0.0000
0.0000 0.5000 0.0000
0.5000 0.0000 0.0000
```

As for the density: 3.5 g/cm³. For the size of the total moment, the calculation gives 1.29 μB/f.u. As for the space-group type: P4/mmm, No. 123.

Model ii:
## ZrGeSCl2 (PBE-GGA)

Data for an optimized crystal structure of ZrGeSCl2.

POSCAR file:
```
ZrGeSCl2
1.0
4.8788 0.0000 0.0000
0.0000 4.8788 0.0000
0.0000 0.0000 5.0833
Ge S Zr Cl
1 1 1 2
direct
0.0000 0.0000 0.0000
0.0000 0.0000 0.5000
0.5000 0.5000 0.5000
0.0000 0.5000 0.0000
0.5000 0.0000 0.0000
```

As for the density: 3.7 g/cm³. For the size of the total moment, the calculation gives 2.13 μB/f.u. As for the space-group type: P4/mmm, No. 123.

Of them, model i has the highest stability.

Model i:
## GeSb3Cl (PBE-GGA)

Data for an optimized crystal structure of GeSb3Cl.

POSCAR file:
```
GeSb3Cl
1.0
-0.1739 7.2945 -3.1291
-6.5424 -0.4046 -0.5783
2.6731 2.4245 5.5013
Ge Sb Cl
2 6 2
direct
0.0000 0.0000 0.0000
0.5000 0.0000 0.0000
0.7500 0.6284 0.8142
0.2500 0.8142 0.6284
0.2500 0.3716 0.1858
0.7500 0.1858 0.3716
0.2500 0.8142 0.1858
0.7500 0.1858 0.8142
0.7498 0.6668 0.3334
0.2502 0.3332 0.6666
```

As for the density: 5.3 g/cm³. For the size of the total moment, the calculation gives 0.00 μB/f.u. As for the space-group type: P6_3/mmc, No. 194.

Model ii:
## GeSb3Cl (PBE-GGA)

Data for an optimized crystal structure of GeSb3Cl.

POSCAR file:
```
GeSb3Cl
1.0
-3.5481 -0.2022 -3.9505
-3.9460 -0.1899 3.5538
-0.2764 5.3065 -0.0234
Sb Ge Cl
3 1 1
direct
0.0000 0.5000 0.0000
0.0000 0.0000 0.5000
0.5000 0.0000 0.0000
0.5000 0.5000 0.5000
0.0000 0.0000 0.0000
```

As for the density: 5.2 g/cm³. For the size of the total moment, the calculation gives 0.00 μB/f.u. As for the space-group type: Pm-3m, No. 221.

Of them, model i has the highest stability.

Model i:
## Ge2Sb2Cl (PBE-GGA)

Data for an optimized crystal structure of Ge2Sb2Cl.

POSCAR file:
```
Ge2Sb2Cl
1.0
8.3133 0.0000 0.0000
0.0000 8.3133 0.0000
0.0000 0.0000 3.4725
Sb Ge Cl
4 4 2
direct
0.1455 0.6455 0.5000
0.6455 0.8545 0.5000
0.8545 0.3545 0.5000
0.3545 0.1455 0.5000
0.3522 0.8522 0.0000
0.8522 0.6478 0.0000
0.6478 0.1478 0.0000
0.1478 0.3522 0.0000
0.0000 0.0000 0.0000
0.5000 0.5000 0.0000
```

As for the density: 5.9 g/cm³. For the size of the total moment, the calculation gives 0.00 μB/f.u. As for the space-group type: P4/mbm, No. 127.

Model ii:
## Ge2Sb2Cl (PBE-GGA)

Data for an optimized crystal structure of Ge2Sb2Cl.

POSCAR file:
```
Ge2Sb2Cl
1.0
4.6019 0.0000 0.0000
0.0000 4.6019 0.0000
2.3009 2.3009 6.3556
Sb Ge Cl
2 2 1
direct
0.7500 0.2500 0.5000
0.2500 0.7500 0.5000
0.3897 0.3897 0.2207
0.6103 0.6103 0.7793
0.0000 0.0000 0.0000
```

As for the density: 5.2 g/cm³. For the size of the total moment, the calculation gives 0.00 μB/f.u. As for the space-group type: I4/mmm, No. 139.

Of them, model ii has the highest stability.

Model i:
## GeSb2Cl8 (PBE-GGA)

Data for an optimized crystal structure of GeSb2Cl8.

POSCAR file:
```
GeSb2Cl8
1.0
3.6324 0.0000 -0.7716
-0.0598 9.7463 -0.2814
0.1596 0.3851 9.6874
Ge Sb Cl
1 2 8
direct
0.5000 0.0000 0.0000
0.1527 0.7335 0.3055
0.8473 0.2665 0.6945
0.5997 0.5656 0.1994
0.3590 0.0459 0.7179
0.2427 0.3009 0.4855
0.0013 0.8035 0.0026
0.7573 0.6991 0.5145
0.6410 0.9541 0.2821
0.4003 0.4344 0.8006
0.9987 0.1965 0.9974
```

As for the density: 2.9 g/cm³. For the size of the total moment, the calculation gives 0.00 μB/f.u. As for the space-group type: C2/m, No. 12.

Model ii:
## GeSb2Cl8 (PBE-GGA)

Data for an optimized crystal structure of GeSb2Cl8.

POSCAR file:
```
GeSb2Cl8
1.0
-0.7582 7.1616 -4.4068
-7.9434 0.5868 0.2565
-4.4135 4.0411 5.2629
Ge Sb Cl
1 2 8
direct
0.0000 0.0000 0.0000
0.6247 0.1411 0.1411
0.3753 0.8589 0.8589
0.1636 0.1092 0.6233
0.1636 0.6233 0.1092
0.8364 0.8908 0.3767
0.4231 0.6857 0.6857
0.8364 0.3767 0.8908
0.2745 0.0601 0.0601
0.7255 0.9399 0.9399
0.5769 0.3143 0.3143
```

As for the density: 2.4 g/cm³. For the size of the total moment, the calculation gives 0.00 μB/f.u. As for the space-group type: C2/m, No. 12.

Of them, model ii has the highest stability.

Model i:
## GeSbCl2 (PBE-GGA)

Data for an optimized crystal structure of GeSbCl2.

POSCAR file:
```
GeSbCl2
1.0
-3.9895 2.8910 -6.2331
-6.8500 -1.1112 3.8689
-5.2069 3.7956 0.0294
Sb Ge Cl
2 2 4
direct
0.0000 0.0000 0.0000
0.7500 0.2500 0.5000
0.5000 0.5000 0.0000
0.2500 0.7500 0.5000
0.5978 0.1250 0.2500
0.1522 0.6250 0.2500
0.3750 0.4022 0.7500
0.8750 0.8478 0.7500
```

As for the density: 4.4 g/cm³. For the size of the total moment, the calculation gives 0.00 μB/f.u. As for the space-group type: I-42d, No. 122.

Model ii:
## GeSbCl2 (PBE-GGA)

Data for an optimized crystal structure of GeSbCl2.

POSCAR file:
```
GeSbCl2
1.0
-5.7183 -7.7974 1.8303
-3.4086 -8.1545 4.3283
-6.0947 -6.0819 4.7659
Sb Ge Cl
1 1 2
direct
0.0000 0.0000 0.0000
0.5000 0.5000 0.5000
0.9084 0.9084 0.9084
0.0916 0.0916 0.0916
```

As for the density: 4.5 g/cm³. For the size of the total moment, the calculation gives 0.00 μB/f.u. As for the space-group type: R-3m, No. 166.

Of them, model ii has the highest stability.

Model i:
## GeSb2Cl (PBE-GGA)

Data for an optimized crystal structure of GeSb2Cl.

POSCAR file:
```
GeSb2Cl
1.0
-2.7749 -2.9286 -1.3573
4.4700 -1.5411 -5.8134
6.3810 -10.7227 10.0908
Ge Sb Cl
4 8 4
direct
0.0741 0.3208 0.6287
0.9259 0.6792 0.3713
0.5741 0.1792 0.8713
0.4259 0.8208 0.1287
0.7518 0.8803 0.9614
0.2482 0.1197 0.0386
0.2518 0.6197 0.5386
0.7482 0.3803 0.4614
0.7446 0.4967 0.0632
0.2554 0.5033 0.9368
0.2446 0.0033 0.4368
0.7554 0.9967 0.5632
0.2688 0.5339 0.2752
0.7312 0.4661 0.7248
0.7688 0.9661 0.2248
0.2312 0.0339 0.7752
```

As for the density: 4.6 g/cm³. For the size of the total moment, the calculation gives 0.00 μB/f.u. As for the space-group type: P2_1/c, No. 14.

Model ii:
## GeSb2Cl (PBE-GGA)

Data for an optimized crystal structure of GeSb2Cl.

POSCAR file:
```
GeSb2Cl
1.0
7.2514 0.0000 0.0000
0.0000 7.2514 0.0000
3.6257 3.6257 5.0364
Sb Ge Cl
4 2 2
direct
0.6575 0.1250 0.2500
0.0925 0.6250 0.2500
0.3750 0.3425 0.7500
0.8750 0.9075 0.7500
0.0000 0.0000 0.0000
0.7500 0.2500 0.5000
0.5000 0.5000 0.0000
0.2500 0.7500 0.5000
```

As for the density: 4.4 g/cm³. For the size of the total moment, the calculation gives 0.00 μB/f.u. As for the space-group type: I-42d, No. 122.

Of them, model i has the highest stability.

Model i:
## GeSb2TeCl (PBE-GGA)

Data for an optimized crystal structure of GeSb2TeCl.

POSCAR file:
```
GeSb2TeCl
1.0
5.4209 0.0000 0.0000
0.0000 5.3630 0.0000
0.0000 0.0000 5.4209
Sb Ge Te Cl
2 1 1 1
direct
0.0000 0.0000 0.5000
0.5000 0.0000 0.0000
0.0000 0.0000 0.0000
0.0000 0.5000 0.0000
0.5000 0.5000 0.5000
```

As for the density: 5.0 g/cm³. For the size of the total moment, the calculation gives 0.00 μB/f.u. As for the space-group type: P4/mmm, No. 123.

Model ii:
## GeSb2TeCl (PBE-GGA)

Data for an optimized crystal structure of GeSb2TeCl.

POSCAR file:
```
GeSb2TeCl
1.0
-0.8404 -0.6687 -5.1509
3.6757 -3.7633 -0.1112
-3.8832 -3.8262 1.1302
Sb Ge Te Cl
2 1 1 1
direct
0.0000 0.5000 0.0000
0.5000 0.0000 0.0000
0.5000 0.5000 0.5000
0.0000 0.0000 0.5000
0.0000 0.0000 0.0000
```

As for the density: 5.2 g/cm³. For the size of the total moment, the calculation gives 0.00 μB/f.u. As for the space-group type: P4/mmm, No. 123.

Of them, model i has the highest stability.

Model i:
## ScGe3Cl (PBE-GGA)

Data for an optimized crystal structure of ScGe3Cl.

POSCAR file:
```
ScGe3Cl
1.0
-4.0877 -0.8360 -3.2348
-0.6753 -4.7992 2.0937
-3.2721 2.0349 3.6090
Sc Ge Cl
1 3 1
direct
0.0000 0.0000 0.0000
0.0000 0.5000 0.0000
0.0000 0.0000 0.5000
0.5000 0.0000 0.0000
0.5000 0.5000 0.5000
```

As for the density: 3.4 g/cm³. For the size of the total moment, the calculation gives 0.00 μB/f.u. As for the space-group type: Pm-3m, No. 221.

Model ii:
## ScGe3Cl (PBE-GGA)

Data for an optimized crystal structure of ScGe3Cl.

POSCAR file:
```
ScGe3Cl
1.0
4.8962 0.0000 0.0000
0.0000 4.8962 0.0000
0.0000 0.0000 4.8962
Sc Ge Cl
1 3 1
direct
0.5000 0.5000 0.5000
0.0000 0.5000 0.0000
0.0000 0.0000 0.5000
0.5000 0.0000 0.0000
0.0000 0.0000 0.0000
```

As for the density: 4.2 g/cm³. For the size of the total moment, the calculation gives 0.00 μB/f.u. As for the space-group type: Pm-3m, No. 221.

Of them, model ii has the highest stability.